# 1
First-principles (GGA-PBE) data for UFeSi2Os after structural relaxation, as listed in the Alexandria database.

Results
Formation energy without anion corrections ... -0.51 eV/atom
Total magnetization ... 1.148 μB/f.u.
Calculated density ... 11.4 g/cm³

```
UFeSi2Os
1.0
-3.146 0.548 -2.506
2.095 -1.739 -3.010
-1.212 -3.660 4.008
Os U Si Fe
1 1 2 1
Direct
0.750 0.250 0.500
0.000 0.000 0.000
0.374 0.374 0.749
0.626 0.626 0.251
0.250 0.750 0.500
```

***

# 2
First-principles (GGA-PBE) data for Rb2LaIF6 after structural relaxation, as listed in the Alexandria database.

Results
Formation energy without anion corrections ... -2.66 eV/atom
Total magnetization ... 2.000 μB/f.u.
Calculated density ... 3.4 g/cm³

```
Rb2LaIF6
1.0
6.905 0.000 0.000
0.000 6.905 0.000
3.453 3.453 5.568
I F Rb La
1 6 2 1
Direct
0.500 0.500 0.000
0.763 0.237 0.000
0.206 0.206 0.589
0.763 0.763 0.000
0.794 0.794 0.411
0.237 0.237 0.000
0.237 0.763 0.000
0.750 0.250 0.500
0.250 0.750 0.500
0.000 0.000 0.000
```

***

# 3
First-principles (GGA-PBE) data for CsLiNb2N after structural relaxation, as listed in the Alexandria database.

Results
Formation energy without anion corrections ... 2.90 eV/atom
Total magnetization ... 4.595 μB/f.u.
Calculated density ... 4.4 g/cm³

```
CsLiNb2N
1.0
-0.852 -3.618 3.871
4.277 0.302 1.224
-1.256 3.947 3.413
N Nb Cs Li
1 2 1 1
Direct
0.000 0.500 0.000
0.000 0.000 0.500
0.500 0.000 0.000
0.000 0.000 0.000
0.500 0.500 0.500
```

***

# 4
First-principles (GGA-PBE) data for LiTa2Te after structural relaxation, as listed in the Alexandria database.

Results
Formation energy without anion corrections ... 0.51 eV/atom
Total magnetization ... 0.000 μB/f.u.
Calculated density ... 11.4 g/cm³

```
LiTa2Te
1.0
4.677 0.000 0.000
0.000 4.677 0.000
0.000 0.000 3.293
Ta Li Te
2 1 1
Direct
0.500 0.500 0.000
0.000 0.000 0.000
0.000 0.500 0.500
0.500 0.000 0.500
```

***

# 5
First-principles (GGA-PBE) data for TiTe2HI after structural relaxation, as listed in the Alexandria database.

Results
ΔE to the lowest computed polymorph ... 18.8 kJ/mol of atoms
Total magnetization ... 2.095 μB/f.u.
Calculated density ... 5.9 g/cm³

```
TiTe2HI
1.0
4.411 0.000 0.000
0.000 4.411 0.000
0.000 0.000 6.280
Ti Te H I
1 2 1 1
Direct
0.500 0.500 0.500
0.000 0.500 0.000
0.500 0.000 0.000
0.000 0.000 0.000
0.000 0.000 0.500
```

***

# 6
First-principles (GGA-PBE) data for Tb3Er4Mg2 after structural relaxation, as listed in the Alexandria database.

Results
Total magnetization ... 0.000 μB/f.u.
Calculated density ... 7.4 g/cm³
Energy of formation from the pure elements ... 0.010 eV per atom

```
Tb3Er4Mg2
1.0
4.889 0.000 0.000
0.000 7.780 0.669
-2.444 -2.944 6.751
Er Mg Tb
4 2 3
Direct
0.444 0.665 0.888
0.556 0.335 0.112
0.221 0.331 0.443
0.779 0.669 0.557
0.330 0.000 0.661
0.670 0.000 0.339
0.888 0.335 0.777
0.000 0.000 0.000
0.112 0.665 0.223
```

***

Repeat the fifth record exactly.
First-principles (GGA-PBE) data for TiTe2HI after structural relaxation, as listed in the Alexandria database.

Results
ΔE to the lowest computed polymorph ... 18.8 kJ/mol of atoms
Total magnetization ... 2.095 μB/f.u.
Calculated density ... 5.9 g/cm³

```
TiTe2HI
1.0
4.411 0.000 0.000
0.000 4.411 0.000
0.000 0.000 6.280
Ti Te H I
1 2 1 1
Direct
0.500 0.500 0.500
0.000 0.500 0.000
0.500 0.000 0.000
0.000 0.000 0.000
0.000 0.000 0.500
```

***

What is the calculated density in the second record? 3.4 g/cm³